Entry 1:
First-principles (PBE-GGA) data for an optimized crystal structure of TePS3, as listed in the Alexandria database.

Structure (POSCAR):
```
TePS3
1.0
-1.042 5.015 3.570
-0.281 -5.767 8.019
10.527 6.819 -6.507
S Te P
12 4 4
Cartesian
2.769 0.263 7.245
3.492 5.542 2.889
1.295 -1.759 4.196
3.841 2.612 4.271
0.309 1.346 2.395
6.435 5.804 -2.163
5.363 3.455 0.811
7.909 7.826 0.886
8.984 10.163 -2.096
0.220 -4.096 7.178
5.712 0.526 2.193
8.895 4.721 2.687
9.373 4.104 -0.860
4.143 4.092 -1.250
-0.169 1.963 5.942
5.061 1.975 6.332
4.194 1.646 1.181
5.010 4.421 3.900
9.229 2.595 2.238
-0.025 3.472 2.844
```

Properties
Its distance to the lowest polymorph of the same formula is 76.5 meV/atom. The calculation puts the formation energy (no corrections) at 32 meV/atom. The calculation puts the volume at 160.5 Å³/f.u.

Entry 2:
First-principles (PBE-GGA) data for an optimized crystal structure of Li2YZnF8, as listed in the Alexandria database.

Structure (POSCAR):
```
Li2YZnF8
1.0
4.723 0.030 -0.003
0.075 4.787 -0.005
0.004 0.007 6.657
F Li Zn Y
8 2 1 1
Cartesian
3.838 1.041 1.548
0.965 3.783 5.101
3.216 3.364 3.323
0.963 3.779 1.547
3.389 3.522 -0.006
3.840 1.045 5.102
1.587 1.460 3.326
1.413 1.302 6.655
2.402 2.414 4.995
2.400 2.410 1.653
0.000 0.000 0.000
0.002 0.004 3.328
```

Properties
The density of states at the Fermi level comes out at 0.60 states/eV per atom. The calculation puts the formation energy (no corrections) at -2862 meV/atom. The calculation puts the volume at 150.5 Å³/f.u.

Entry 3:
First-principles (PBE-GGA) data for an optimized crystal structure of Pu2CrCoN5, as listed in the Alexandria database.

Structure (POSCAR):
```
Pu2CrCoN5
1.0
3.169 0.000 0.000
-1.585 6.226 0.000
0.000 0.000 9.861
Pu Co N Cr
4 2 10 2
Cartesian
1.585 4.365 7.997
0.000 1.264 6.668
0.000 1.861 3.067
1.585 4.961 1.737
0.000 5.822 4.479
1.585 0.404 9.409
1.585 1.626 4.909
1.585 0.169 2.689
1.585 2.234 8.666
0.000 6.057 7.620
0.000 0.718 0.603
0.000 3.992 3.735
1.585 5.508 5.533
0.000 3.487 6.447
0.000 4.600 9.840
1.585 2.739 1.517
0.000 2.510 0.183
1.585 3.716 5.114
```

Properties
The density of states at the Fermi level comes out at 1.08 states/eV per atom. The calculation puts the formation energy (no corrections) at -653 meV/atom. The calculation puts the volume at 97.3 Å³/f.u.

Entry 4:
First-principles (PBE-GGA) data for an optimized crystal structure of PrNd2HgO, as listed in the Alexandria database.

Structure (POSCAR):
```
PrNd2HgO
1.0
-4.010 -2.687 -1.339
1.912 -0.587 -4.547
2.282 -4.151 1.496
O Pr Nd Hg
1 1 2 1
Cartesian
0.000 0.000 0.000
-2.005 -1.344 -0.670
0.956 -0.294 -2.274
1.141 -2.076 0.748
0.092 -3.713 -2.195
```

Properties
The density of states at the Fermi level comes out at 0.66 states/eV per atom. The calculation puts the formation energy (no corrections) at -1328 meV/atom. The calculation puts the volume at 123.6 Å³/f.u.

Entry 5:
First-principles (PBE-GGA) data for an optimized crystal structure of AcTbPm6Y2, as listed in the Alexandria database.

Structure (POSCAR):
```
AcTbPm6Y2
1.0
-1.830 -9.449 -1.118
8.680 -1.489 1.987
-5.662 0.696 6.997
Pm Ac Tb Y
12 2 2 4
Cartesian
4.412 -2.529 0.932
3.212 -1.824 4.641
-3.361 -0.188 5.458
5.499 -4.178 4.765
2.154 -4.190 2.644
-4.312 -6.064 3.100
-3.224 -7.713 6.934
-2.025 -8.418 3.224
4.548 -10.054 2.408
-0.966 -6.052 5.222
4.873 -6.306 1.703
-3.686 -3.936 6.163
-6.537 -6.467 5.984
7.725 -3.775 1.881
1.408 -7.677 3.209
-0.220 -2.565 4.657
2.153 -4.946 5.904
-0.965 -5.296 1.962
1.424 -0.795 2.006
-0.236 -9.447 5.860
```

Properties
The density of states at the Fermi level comes out at 1.44 states/eV per atom. The calculation puts the volume at 352.2 Å³/f.u. The energy of formation from the pure elements is 1.225 eV/f.u.

Entry 6:
First-principles (PBE-GGA) data for an optimized crystal structure of MnBeTc3, as listed in the Alexandria database.

Structure (POSCAR):
```
MnBeTc3
1.0
4.065 0.000 0.000
0.000 4.065 0.000
0.000 0.000 4.065
Be Mn Tc
1 1 3
Cartesian
0.000 0.000 0.000
2.032 2.032 2.032
2.032 0.000 0.000
0.000 0.000 2.032
0.000 2.032 0.000
```

Properties
The density of states at the Fermi level comes out at 1.13 states/eV per atom. The calculation puts the volume at 67.2 Å³/f.u. The energy of formation from the pure elements is 3.790 eV/f.u.

> Which value of volume does entry 4 give?

123.6 Å³/f.u.

> What is the volume in the second record?

150.5 Å³/f.u.